Entry 1:
{
  "formula": "NaCe2Al",
  "functional": "PBE-GGA",
  "state": "relaxed",
  "e_form_ev_per_atom": 0.11,
  "lattice": [[3.0959, 0.0000, 0.0000], [1.5479, 2.6811, 0.0000], [1.5479, 0.8937, 12.2598]],
  "species": ["Na", "Al", "Ce", "Ce"],
  "fractional_positions": [[0.0000, 0.0000, 0.0000], [0.5000, 0.5000, 0.5000], [0.0945, 0.0945, 0.7165], [0.9055, 0.9055, 0.2835]]
}

Entry 2:
{
  "formula": "NaCeAl4",
  "functional": "PBE-GGA",
  "state": "relaxed",
  "e_form_ev_per_atom": -0.17,
  "lattice": [[5.6166, 0.0000, 0.0000], [2.8083, 4.8641, 0.0000], [2.8083, 1.6214, 4.5860]],
  "species": ["Ce", "Al", "Al", "Al", "Al", "Na"],
  "fractional_positions": [[0.0000, 0.0000, 0.0000], [0.6260, 0.6260, 0.6260], [0.6260, 0.6260, 0.1221], [0.1221, 0.6260, 0.6260], [0.6260, 0.1221, 0.6260], [0.2500, 0.2500, 0.2500]]
}

Entry 3:
{
  "formula": "NaCe4Al3O12",
  "functional": "PBE-GGA",
  "state": "relaxed",
  "e_tot_ev_per_atom": -7.6947,
  "lattice": [[6.6065, 0.0000, 0.0000], [-2.2022, 6.2287, 0.0000], [-2.2022, -3.1143, 5.3942]],
  "species": ["O", "O", "O", "O", "O", "O", "O", "O", "O", "O", "O", "O", "Ce", "Ce", "Ce", "Ce", "Al", "Al", "Al", "Na"],
  "fractional_positions": [[0.7500, 0.2500, 0.5000], [0.5000, 0.2500, 0.7500], [0.7328, 0.0000, 0.7328], [0.0000, 0.7328, 0.7328], [0.7328, 0.7328, 0.0000], [0.2672, 0.2672, 0.0000], [0.0000, 0.2672, 0.2672], [0.2672, 0.0000, 0.2672], [0.2500, 0.7500, 0.5000], [0.2500, 0.5000, 0.7500], [0.5000, 0.7500, 0.2500], [0.7500, 0.5000, 0.2500], [0.0000, 0.0000, 0.5000], [0.0000, 0.5000, 0.0000], [0.5000, 0.5000, 0.5000], [0.5000, 0.0000, 0.0000], [0.5000, 0.0000, 0.5000], [0.5000, 0.5000, 0.0000], [0.0000, 0.5000, 0.5000], [0.0000, 0.0000, 0.0000]]
}

Entry 4:
{
  "formula": "NaCe2AlO5",
  "functional": "PBE-GGA",
  "state": "relaxed",
  "e_tot_ev_per_atom": -7.4995,
  "lattice": [[-2.5003, 6.2198, 1.0363], [-3.5234, -0.4536, -5.7785], [-1.2098, -5.0373, 5.1143]],
  "species": ["O", "O", "O", "O", "O", "O", "O", "O", "O", "O", "Na", "Na", "Al", "Al", "Ce", "Ce", "Ce", "Ce"],
  "fractional_positions": [[0.7218, 0.2218, 0.7178], [0.2218, 0.9960, 0.7178], [0.5000, 0.5000, 0.0000], [0.4960, 0.7218, 0.7178], [0.0040, 0.5040, 0.2822], [0.9960, 0.4960, 0.7178], [0.5040, 0.2782, 0.2822], [0.7782, 0.0040, 0.2822], [0.2782, 0.7782, 0.2822], [0.0000, 0.0000, 0.0000], [0.2500, 0.2500, 0.5000], [0.7500, 0.7500, 0.5000], [0.7500, 0.2500, 0.5000], [0.2500, 0.7500, 0.5000], [0.8175, 0.6825, 0.0000], [0.3175, 0.8175, 0.0000], [0.1825, 0.3175, 0.0000], [0.6825, 0.1825, 0.0000]]
}

Entry 5:
{
  "formula": "NaCeAlS4",
  "functional": "PBE-GGA",
  "state": "relaxed",
  "e_tot_ev_per_atom": -5.3153,
  "lattice": [[6.5692, 0.0000, 0.1367], [0.0000, 6.5958, 0.0000], [-2.4068, 0.0000, 7.6061]],
  "species": ["S", "S", "S", "S", "S", "S", "S", "S", "Ce", "Ce", "Al", "Al", "Na", "Na"],
  "fractional_positions": [[0.0041, 0.4951, 0.2733], [0.4456, 0.7500, 0.5938], [0.9959, 0.9951, 0.7267], [0.9959, 0.5049, 0.7267], [0.5544, 0.2500, 0.4062], [0.5460, 0.2500, 0.8558], [0.0041, 0.0049, 0.2733], [0.4540, 0.7500, 0.1442], [0.7730, 0.7500, 0.4429], [0.2270, 0.2500, 0.5571], [0.7582, 0.2500, 0.6841], [0.2418, 0.7500, 0.3159], [0.2556, 0.2500, 0.0622], [0.7444, 0.7500, 0.9378]]
}

Entry 6:
{
  "formula": "Na2Ce2AlS6",
  "functional": "PBE-GGA",
  "state": "relaxed",
  "e_tot_ev_per_atom": -5.3989,
  "lattice": [[-5.3114, 4.2502, -0.3194], [2.1295, -3.1266, -5.6627], [-3.1440, -5.4697, 3.1730]],
  "species": ["S", "S", "S", "S", "S", "S", "Ce", "Ce", "Al", "Na", "Na"],
  "fractional_positions": [[0.7808, 0.7808, 0.7073], [0.9326, 0.6203, 0.2844], [0.3797, 0.0674, 0.7156], [0.0674, 0.3797, 0.7156], [0.6203, 0.9326, 0.2844], [0.2192, 0.2192, 0.2927], [0.3338, 0.6662, 0.5000], [0.6662, 0.3338, 0.5000], [0.0000, 0.0000, 0.5000], [0.8331, 0.1669, 0.0000], [0.1669, 0.8331, 0.0000]]
}

Entry 7:
{
  "formula": "Na3Ce2AlS6",
  "functional": "PBE-GGA",
  "state": "relaxed",
  "e_tot_ev_per_atom": -5.1706,
  "lattice": [[-2.3140, -1.7446, 6.2554], [-3.8603, -1.2271, -5.5786], [4.8871, -4.9912, -0.8569]],
  "species": ["S", "S", "S", "S", "S", "S", "Na", "Na", "Na", "Al", "Ce", "Ce"],
  "fractional_positions": [[0.3760, 0.0745, 0.2226], [0.7744, 0.7744, 0.2144], [0.9255, 0.6240, 0.7774], [0.6240, 0.9255, 0.7774], [0.2256, 0.2256, 0.7856], [0.0745, 0.3760, 0.2226], [0.5000, 0.5000, 0.5000], [0.1646, 0.8354, 0.5000], [0.8354, 0.1646, 0.5000], [0.0000, 0.0000, 0.0000], [0.6672, 0.3328, 0.0000], [0.3328, 0.6672, 0.0000]]
}

Entry 8:
{
  "formula": "Na2CeAlSe4",
  "functional": "PBE-GGA",
  "state": "relaxed",
  "e_tot_ev_per_atom": -4.5150,
  "lattice": [[-5.0476, 6.4418, -1.1425], [-4.0723, -4.2449, -5.8033], [1.2945, -3.2792, 7.7897]],
  "species": ["Se", "Se", "Se", "Se", "Se", "Se", "Se", "Se", "Na", "Na", "Na", "Na", "Ce", "Ce", "Al", "Al"],
  "fractional_positions": [[0.2333, 0.7646, 0.9989], [0.7495, 0.7506, 0.9587], [0.2506, 0.2495, 0.4587], [0.7494, 0.7505, 0.5413], [0.2646, 0.7332, 0.4989], [0.2505, 0.2494, 0.0413], [0.7668, 0.2354, 0.0011], [0.7354, 0.2668, 0.5011], [0.5000, 0.0000, 0.5000], [0.5000, 0.5000, 0.0000], [0.5000, 0.0000, 0.0000], [0.0000, 0.0000, 0.5000], [0.0000, 0.5000, 0.0000], [0.0000, 0.5000, 0.5000], [0.5000, 0.5000, 0.5000], [0.0000, 0.0000, 0.0000]]
}

Entry 9:
{
  "formula": "CeNb2Al",
  "functional": "PBE-GGA",
  "state": "relaxed",
  "e_form_ev_per_atom": 0.19,
  "lattice": [[2.9344, 0.0000, 0.0000], [1.4672, 2.5413, 0.0000], [1.4672, 0.8471, 10.5106]],
  "species": ["Al", "Nb", "Nb", "Ce"],
  "fractional_positions": [[0.5000, 0.5000, 0.5000], [0.9068, 0.9068, 0.2795], [0.0932, 0.0932, 0.7205], [0.0000, 0.0000, 0.0000]]
}

Entry 10:
{
  "formula": "CeNbAl2",
  "functional": "PBE-GGA",
  "state": "relaxed",
  "polymorph_energy_mev_per_atom": 0,
  "e_form_ev_per_atom": -0.19,
  "lattice": [[3.5451, 0.0000, 0.0000], [0.0000, 3.5451, 0.0000], [0.0000, 0.0000, 6.5284]],
  "species": ["Al", "Al", "Nb", "Ce"],
  "fractional_positions": [[0.0000, 0.0000, 0.1979], [0.0000, 0.0000, 0.8021], [0.5000, 0.5000, 0.0000], [0.5000, 0.5000, 0.5000]]
}

Entry 11:
{
  "formula": "CeNbAl2",
  "functional": "PBE-GGA",
  "state": "relaxed",
  "polymorph_energy_mev_per_atom": 70,
  "e_form_ev_per_atom": -0.12,
  "lattice": [[-0.7780, -2.7727, -0.8250], [1.8156, -1.6031, -1.7628], [4.9978, -5.2028, 7.3338]],
  "species": ["Al", "Al", "Ce", "Nb"],
  "fractional_positions": [[0.7416, 0.7416, 0.7752], [0.2584, 0.2584, 0.2248], [0.5000, 0.5000, 0.5000], [0.0000, 0.0000, 0.0000]]
}

Total magnetization? In order: 0.01; 0.80; 2.04; 4.00; 0.32; 1.03; 2.00; 1.67; 0.00; 0.92; 0.00 Bohr magnetons per cell.